# LaPPb

An optimized crystal structure of LaPPb (GGA-PBE, Alexandria).

Computed properties:
Symmetry = R-3m (166)
Polymorph energy (0 for the lowest one) = 0 meV per atom
Energy of formation from the pure elements = -778 meV/atom
E = -5.460 eV per atom

```
LaPPb
1.0
2.626 1.516 7.705
-2.626 1.516 7.705
0.000 -3.033 7.705
La P Pb
2 2 2
direct
0.101 0.101 0.101
0.899 0.899 0.899
0.223 0.223 0.223
0.777 0.777 0.777
0.341 0.341 0.341
0.659 0.659 0.659
```